1.
First-principles (PBE) data for a relaxed structure of TeAs2, as listed in Alexandria via LeMat-Bulk.

Unit cell a=6.9273 b=6.9273 c=6.9273 alpha=90.00 beta=90.00 gamma=90.00
Fractional positions:
Te (0.0000, 0.0000, 0.0000)
Te (0.0000, 0.5000, 0.5000)
Te (0.5000, 0.0000, 0.5000)
Te (0.5000, 0.5000, 0.0000)
As (0.1013, 0.6013, 0.8987)
As (0.1013, 0.8987, 0.3987)
As (0.3987, 0.1013, 0.8987)
As (0.3987, 0.3987, 0.3987)
As (0.6013, 0.6013, 0.6013)
As (0.6013, 0.8987, 0.1013)
As (0.8987, 0.1013, 0.6013)
As (0.8987, 0.3987, 0.1013)

Calculated values
- E_form (uncorrected) (eV/atom) = 0.231
- space-group type = Pa-3, No. 205
- final energy (Ha/atom) = -0.144

***

2.
First-principles (PBE) data for a relaxed structure of LaHSe, as listed in Alexandria via LeMat-Bulk.

Unit cell a=4.1948 b=4.1948 c=6.6809 alpha=90.00 beta=90.00 gamma=90.00
Fractional positions:
La (0.2500, 0.2500, 0.2031)
La (0.7500, 0.7500, 0.7969)
H (0.2500, 0.7500, 0.0000)
H (0.7500, 0.2500, 0.0000)
Se (0.2500, 0.2500, 0.6725)
Se (0.7500, 0.7500, 0.3275)

Calculated values
- space-group type = P4/nmm, No. 129
- final energy (Ha/atom) = -0.198

***

3.
First-principles (PBE) data for a relaxed structure of Li2LaMgH8, as listed in Alexandria via LeMat-Bulk.

Unit cell a=4.6169 b=4.6169 c=6.3816 alpha=90.00 beta=90.00 gamma=120.00
Fractional positions:
Li (0.3333, 0.6667, 0.1448)
Li (0.6667, 0.3333, 0.8552)
La (0.0000, 0.0000, 0.5000)
Mg (0.0000, 0.0000, 0.0000)
H (0.0538, 0.7207, 0.8082)
H (0.2793, 0.3331, 0.8082)
H (0.3331, 0.0538, 0.1918)
H (0.3333, 0.6667, 0.4494)
H (0.6667, 0.3333, 0.5506)
H (0.6669, 0.9462, 0.8082)
H (0.7207, 0.6669, 0.1918)
H (0.9462, 0.2793, 0.1918)

Calculated values
- space-group type = P-3, No. 147
- final energy (Ha/atom) = -0.118

***

4.
First-principles (PBE) data for a relaxed structure of Nd2AlCd, as listed in Alexandria via LeMat-Bulk.

Unit cell a=3.7491 b=3.7491 c=29.1416 alpha=90.00 beta=90.00 gamma=120.00
Fractional positions:
Nd (0.0000, 0.0000, 0.2445)
Nd (0.0000, 0.0000, 0.7555)
Nd (0.3333, 0.6667, 0.4221)
Nd (0.3333, 0.6667, 0.9112)
Nd (0.6667, 0.3333, 0.0888)
Nd (0.6667, 0.3333, 0.5779)
Al (0.0000, 0.0000, 0.5000)
Al (0.3333, 0.6667, 0.1667)
Al (0.6667, 0.3333, 0.8333)
Cd (0.0000, 0.0000, 0.0000)
Cd (0.3333, 0.6667, 0.6667)
Cd (0.6667, 0.3333, 0.3333)

Calculated values
- space-group type = R-3m, No. 166
- final energy (Ha/atom) = -0.135